VASP calculation (PBE-GGA) on YBeAl2Pb after structural relaxation.

Computed properties:
- Total magnetic moment: 0.0000 μB per atom
- Energy of formation: 9 meV per atom
- D(E_F): 0.3729 states/eV/atom

Unit cell a=4.489 b=4.489 c=5.262 alpha=90.00 beta=90.00 gamma=90.00
Space group P4/mmm (No. 123)
Asymmetric unit:
Y 0.000 0.000 0.000
Be 0.000 0.000 0.500
Al 0.000 0.500 0.500
Pb 0.500 0.500 0.000



VASP calculation (PBE-GGA) on HgBRuN after structural relaxation.

Computed properties:
- Total magnetic moment: 0.0005 μB per atom
- ΔE_f (raw): 0.306 eV/atom
- Energy above the lowest structure with this stoichiometry: 0.309 eV/atom
- D(E_F): 0.6492 states/eV/atom

Unit cell a=3.435 b=2.698 c=5.960 alpha=90.00 beta=100.26 gamma=90.00
Space group Pm (No. 6)
Asymmetric unit:
Hg 0.000 0.000 0.000
B 0.133 0.000 0.627
Ru 0.707 0.500 0.374
N 0.277 0.500 0.563



VASP calculation (PBE-GGA) on PaNbCu after structural relaxation.

Computed properties:
- Total magnetic moment: 0.0000 μB per atom
- Energy above the lowest structure with this stoichiometry: 0.042 eV/atom
- Energy of formation: 261 meV per atom
- D(E_F): 1.2578 states/eV/atom

Unit cell a=14.770 b=3.015 c=5.161 alpha=90.00 beta=90.00 gamma=90.00
Space group Amm2 (No. 38)
Asymmetric unit:
Pa 0.170 0.000 0.000
Nb 0.351 0.000 0.496
Cu 0.000 0.000 0.324
Cu 0.500 0.000 0.146



VASP calculation (PBE-GGA) on Nd12AgPt6 after structural relaxation.

Computed properties:
- Total magnetic moment: 0.0000 μB per atom
- Energy of formation: -662 meV per atom
- D(E_F): 1.1575 states/eV/atom

Unit cell a=13.2211 b=13.2211 c=11.8264 alpha=90.00 beta=90.00 gamma=120.00
Space group R-3 (No. 148, hexagonal axes)
Asymmetric unit:
Nd 0.0305 0.8147 0.3922
Nd 0.0397 0.8228 0.8876
Ag 0.0000 0.0000 0.0000
Pt 0.0450 0.7844 0.6475



VASP calculation (PBE-GGA) on NaLiU2Se4 after structural relaxation.

Computed properties:
- Total magnetic moment: 0.7507 μB per atom
- ΔE_f (raw): -1.174 eV/atom
- D(E_F): 0.9462 states/eV/atom

Unit cell a=7.043 b=4.065 c=7.294 alpha=90.00 beta=108.78 gamma=90.00
Space group P2/m (No. 10)
Asymmetric unit:
Na 0.000 0.000 0.000
Li 0.500 0.500 0.000
U 0.000 0.500 0.500
U 0.500 0.000 0.500
Se 0.255 0.000 0.750
Se 0.256 0.500 0.255



VASP calculation (PBE-GGA) on Ho2ZnSi4Rh3 after structural relaxation.

Computed properties:
- Total magnetic moment: 0.0000 μB per atom
- ΔE_f (raw): -0.881 eV/atom
- D(E_F): 0.6033 states/eV/atom

Unit cell a=4.081 b=4.081 c=10.065 alpha=90.00 beta=90.00 gamma=90.00
Space group P-4m2 (No. 115)
Asymmetric unit:
Ho 0.000 0.500 0.244
Zn 0.000 0.000 0.500
Si 0.000 0.000 0.000
Si 0.000 0.500 0.641
Si 0.500 0.500 0.000
Rh 0.000 0.500 0.875
Rh 0.500 0.500 0.500



VASP calculation (PBE-GGA) on SmH8PdRh2 after structural relaxation.

Computed properties:
- Total magnetic moment: 0.0000 μB per atom
- E: -4.514 eV per atom
- D(E_F): 0.1515 states/eV/atom

Unit cell a=4.8223 b=4.8223 c=15.9094 alpha=90.00 beta=90.00 gamma=120.00
Space group R-3 (No. 148, hexagonal axes)
Asymmetric unit:
Sm 0.0000 0.0000 0.0000
H 0.0000 0.0000 0.3138
H 0.0037 0.7089 0.1192
Pd 0.0000 0.0000 0.5000
Rh 0.0000 0.0000 0.2084



VASP calculation (PBE-GGA) on TaOsAu2 after structural relaxation.

Computed properties:
- Total magnetic moment: 0.2323 μB per atom
- Energy above the lowest structure with this stoichiometry: 0.398 eV/atom
- Energy of formation: 434 meV per atom
- D(E_F): 0.9260 states/eV/atom

Unit cell a=3.542 b=3.542 c=5.468 alpha=90.00 beta=90.00 gamma=90.00
Space group P4/mmm (No. 123)
Asymmetric unit:
Ta 0.000 0.000 0.000
Os 0.000 0.000 0.500
Au 0.500 0.500 0.252



VASP calculation (PBE-GGA) on AcThZnPt after structural relaxation.

Computed properties:
- Total magnetic moment: 0.0000 μB per atom
- Energy of formation: -524 meV per atom
- D(E_F): 0.6995 states/eV/atom

Unit cell a=7.468 b=7.468 c=7.468 alpha=90.00 beta=90.00 gamma=90.00
Space group F-43m (No. 216)
Asymmetric unit:
Ac 0.000 0.000 0.000
Th 0.000 0.000 0.500
Zn 0.250 0.250 0.750
Pt 0.250 0.250 0.250



VASP calculation (PBE-GGA) on ZrBeSb2 after structural relaxation.

Computed properties:
- Total magnetic moment: 0.0000 μB per atom
- ΔE_f (raw): -0.061 eV/atom
- D(E_F): 0.2528 states/eV/atom

Unit cell a=3.746 b=3.746 c=5.910 alpha=90.00 beta=90.00 gamma=90.00
Space group P4/mmm (No. 123)
Asymmetric unit:
Zr 0.000 0.000 0.000
Be 0.000 0.000 0.500
Sb 0.500 0.500 0.258



VASP calculation (PBE-GGA) on LiTbPmCr after structural relaxation.

Computed properties:
- Total magnetic moment: 0.7712 μB per atom
- Energy of formation: 194 meV per atom
- D(E_F): 0.8031 states/eV/atom

Unit cell a=7.291 b=7.291 c=7.291 alpha=90.00 beta=90.00 gamma=90.00
Space group F-43m (No. 216)
Asymmetric unit:
Li 0.000 0.000 0.000
Tb 0.250 0.250 0.750
Pm 0.250 0.250 0.250
Cr 0.000 0.000 0.500



VASP calculation (PBE-GGA) on ErTiGaTc after structural relaxation.

Computed properties:
- Total magnetic moment: 0.0001 μB per atom
- Energy of formation: -270 meV per atom
- D(E_F): 0.6736 states/eV/atom

Unit cell a=6.602 b=6.602 c=6.602 alpha=90.00 beta=90.00 gamma=90.00
Space group F-43m (No. 216)
Asymmetric unit:
Er 0.000 0.000 0.000
Ti 0.000 0.000 0.500
Ga 0.250 0.250 0.250
Tc 0.250 0.250 0.750



Among the records above, which one has the lowest D(E_F)?
SmH8PdRh2



D(E_F) of number 6 (Ho2ZnSi4Rh3)?
0.6033 states/eV/atom



What is the D(E_F) in the fifth record?
0.9462 states/eV/atom